Entry from OQMD via LeMat-Bulk: crystalline TbY2Nb2 at its relaxed geometry (PBE).

a b c (Å): 4.500 4.500 13.434
angles (deg): 90.00 90.00 90.00
Space group I4/mmm (No. 139)
Symmetry-distinct sites (fractional):
Tb: 0.000 0.000 0.000 (multiplicity 2)
Y: 0.000 0.500 0.250 (multiplicity 4)
Nb: 0.000 0.000 0.412 (multiplicity 4)

Results
- relative energy among the computed polymorphs (eV/atom) = 0.0000
- formation energy (eV per atom) = 0.520
- electronic total energy (eV per cell) = -70.30
- crystal system = tetragonal
- total magnetic moment (μB per formula unit) = 0.01